An optimized crystal structure of Na2FeAs2O6, computed with PBE+U.

Summary:
* uncorrected energy: -61.9 eV per cell
* space group: P-3 (147)
* density of states at the Fermi level: 5.3 states/eV per cell

a b c (Å): 5.473 5.473 5.829
angles (deg): 90.00 90.00 120.00
Last column: magnetic moment on the atom in μB.
Fractional coordinates of all 11 atoms:
O 0.089 0.746 0.788  0.19
O 0.657 0.911 0.788  0.19
O 0.911 0.254 0.212  0.19
O 0.343 0.089 0.212  0.19
O 0.746 0.657 0.212  0.19
O 0.254 0.343 0.788  0.19
Na 0.333 0.667 0.419  0.00
Na 0.667 0.333 0.581  0.00
As 0.333 0.667 0.928  0.11
As 0.667 0.333 0.072  0.11
Fe 0.000 0.000 0.000  4.34